# 1
PmSmSnTe, relaxed, DFT GGA-PBE; raw formation energy = -1107.4 meV per atom; mass density = 7.0 g/cm3; energy = -21.04 eV per formula unit; space group = R3m, No. 160; excess energy over the best structure of this formula in the dataset = 0 kJ/mol of formula units
1.0
-1.546 3.747 1.897
-3.500 2.136 -1.793
-6.258 -2.037 4.205
Pm Sm Sn Te
1 1 1 1
direct
0.947 0.947 0.158
0.441 0.441 0.677
0.695 0.695 0.916
0.194 0.194 0.419

---

# 2
PmSmYSn, relaxed, DFT GGA-PBE; mass density = 7.2 g/cm3; energy = -20.91 eV per formula unit; space group = F-43m, No. 216; formation energy = -0.24 eV per atom
1.0
-1.633 -4.688 -2.334
1.836 -1.367 -4.985
3.536 -4.154 -0.577
Y Sn Sm Pm
1 1 1 1
direct
0.000 0.000 0.000
0.250 0.250 0.250
0.500 0.500 0.500
0.750 0.750 0.750

---

# 3
Pm2SmZn2Sn2, relaxed, DFT GGA-PBE; mass density = 7.4 g/cm3; energy = -27.41 eV per formula unit; space group = R-3m, No. 166; formation energy = -0.38 eV per atom
1.0
4.657 0.000 0.000
2.328 4.033 0.000
2.328 1.344 9.683
Pm Sm Zn Sn
2 1 2 2
direct
0.131 0.131 0.608
0.869 0.869 0.392
0.000 0.000 0.000
0.584 0.584 0.249
0.416 0.416 0.751
0.731 0.731 0.806
0.269 0.269 0.194

---

# 4
SrPmSm2, relaxed, DFT GGA-PBE; mass density = 5.9 g/cm3; energy = -14.94 eV per formula unit; space group = Fm-3m, No. 225; formation energy = 0.23 eV per atom; excess energy over the best structure of this formula in the dataset = 52 kJ/mol of formula units
1.0
-5.428 2.039 -1.386
-2.094 -0.628 -5.546
-4.433 -3.831 -1.097
Sr Sm Pm
1 2 1
direct
0.000 0.000 0.000
0.250 0.250 0.250
0.750 0.750 0.750
0.500 0.500 0.500

---

# 5
SrPmSm2, relaxed, DFT GGA-PBE; mass density = 5.9 g/cm3; energy = -15.47 eV per formula unit; space group = R3m, No. 160; formation energy = 0.10 eV per atom; excess energy over the best structure of this formula in the dataset = 0 kJ/mol of formula units
1.0
-2.290 -2.259 1.911
1.252 -1.807 3.027
-3.804 8.163 8.757
Sr Pm Sm
1 1 2
direct
0.500 0.500 0.498
0.666 0.666 0.001
0.078 0.078 0.767
0.256 0.256 0.233

---

# 6
SrPmSm2, relaxed, DFT GGA-PBE; mass density = 5.9 g/cm3; energy = -15.48 eV per formula unit; space group = P4/mmm, No. 123; formation energy = 0.10 eV per atom; excess energy over the best structure of this formula in the dataset = 0 kJ/mol of formula units
1.0
-0.521 -3.697 0.226
0.992 -0.359 -3.588
10.295 -1.270 2.973
Sr Sm Pm
1 2 1
direct
0.500 0.500 0.500
0.000 0.000 0.776
0.000 0.000 0.224
0.500 0.500 0.000

---

# 7
SrPmSm2, relaxed, DFT GGA-PBE; mass density = 6.0 g/cm3; energy = -15.20 eV per formula unit; space group = P4/mmm, No. 123; formation energy = 0.17 eV per atom; excess energy over the best structure of this formula in the dataset = 26 kJ/mol of formula units
1.0
-2.963 -3.943 1.931
1.783 -3.209 -3.814
4.009 -1.483 3.122
Sr Sm Pm
1 2 1
direct
0.500 0.500 0.500
0.000 0.000 0.500
0.000 0.500 0.000
0.500 0.000 0.000

---

# 8
SrPm12Sm6, relaxed, DFT GGA-PBE; mass density = 6.6 g/cm3; energy = -83.26 eV per formula unit; space group = R-3m, No. 166; formation energy = 0.20 eV per atom
1.0
8.870 -0.157 -1.219
-1.377 8.764 -1.219
-0.137 -0.157 8.952
Sr Pm Sm
1 12 6
direct
0.000 0.000 0.000
0.762 0.238 0.500
0.360 0.085 0.360
0.360 0.360 0.085
0.915 0.640 0.640
0.640 0.640 0.915
0.640 0.915 0.640
0.500 0.762 0.238
0.238 0.500 0.762
0.238 0.762 0.500
0.500 0.238 0.762
0.762 0.500 0.238
0.085 0.360 0.360
0.900 0.348 0.900
0.900 0.900 0.348
0.348 0.900 0.900
0.100 0.100 0.652
0.100 0.652 0.100
0.652 0.100 0.100